Below is crystalline Na3Cr3NiO8 at its relaxed geometry, with properties calculated at the GGA+U level.

D(E_F)	0.77	states/eV/f.u.
raw total energy	-93.7	eV for the cell shown
magnetic moment	9.0	μB per cell
V	11.166	Å³/atom

abc: 5.971 5.972 6.427
angles: 117.69 90.00 120.00
Element x y z (fractional)
Ni 0.000 0.000 0.500
Cr 0.500 0.000 0.500
Cr 0.000 0.500 0.500
Cr 0.500 0.500 0.500
Na 0.000 0.500 0.000
Na 0.000 0.000 0.000
Na 0.500 0.500 0.000
O 0.732 0.465 0.698
O 0.224 0.447 0.687
O 0.268 0.535 0.302
O 0.740 0.964 0.687
O 0.776 0.553 0.313
O 0.260 0.036 0.313
O 0.224 0.964 0.687
O 0.776 0.036 0.313